Compound: NdPa2Se6
Source: Alexandria via LeMat-Bulk
Functional: PBE
Structure: relaxed

- formation energy without anion corrections (eV per formula unit) = -12.40
- magnetic moment (μB/atom) = 0.123

abc: 14.134 5.458 9.393
angles: 90.00 126.37 90.00
Space group C2/m (No. 12)
One atom of each set of equivalent atoms:
Nd 0.000 0.000 0.000
Pa 0.184 0.000 0.606
Se 0.039 0.000 0.719
Se 0.132 0.500 0.053
Se 0.238 0.500 0.622